1.
DFT (PBE) results for TiCrGa3 after structural relaxation.

Unit cell a=4.5625 b=4.5625 c=4.5625 alpha=90.00 beta=90.00 gamma=90.00
Space group Pm-3m (No. 221)
Asymmetric unit:
1 Ti 0.0000 0.0000 0.0000
2 Cr 0.5000 0.5000 0.5000
3 Ga 0.0000 0.5000 0.5000

D(E_F) = 5.37 states/eV per cell
Energy relative to the elements = 0.476 eV per atom

=====

2.
DFT (PBE) results for TiCrGa2 after structural relaxation.

Unit cell a=2.8634 b=2.8634 c=7.3016 alpha=90.00 beta=90.00 gamma=90.00
Space group P4/mmm (No. 123)
Asymmetric unit:
1 Ti 0.0000 0.0000 0.0000
2 Cr 0.0000 0.0000 0.5000
3 Ga 0.5000 0.5000 0.2651

D(E_F) = 3.82 states/eV per cell
Energy relative to the elements = -0.166 eV per atom

=====

| no. | magnetization (μB per atom) |
| --- | --- |
| 1 | 0.11 |
| 2 | 0.64 |